## Rb2AcTeO6 (PBE)

Data for crystalline Rb2AcTeO6 at its relaxed geometry.

a b c (Å): 6.7162 6.7162 6.4145
angles (deg): 90.00 90.00 120.00
Last column: nearest neighbours and their distance in Å.
Space group P-3m1 (No. 164)
Unique sites:
Rb: 0.3333 0.6667 0.0713 (multiplicity 2)  3 O 2.85
Ac: 0.0000 0.0000 0.5000 (multiplicity 1)  6 O 2.54
Te: 0.0000 0.0000 0.0000 (multiplicity 1)  6 O 1.96
O: 0.1339 0.2677 0.8136 (multiplicity 6)  1 Te 1.96

Output
The uncorrected formation energy comes out at -1.66 eV/atom. The crystal system is trigonal. The calculation puts the final energy at -55.562 eV for the cell shown.

---

## Sr3TaGa2O9 (PBE)

Data for crystalline Sr3TaGa2O9 at its relaxed geometry.

a b c (Å): 5.6141 5.6141 6.9392
angles (deg): 90.00 90.00 120.00
Last column: nearest neighbours and their distance in Å.
Space group P-3m1 (No. 164)
Unique sites:
Sr: 0.0000 0.0000 0.0000 (multiplicity 1)  12 O 2.81-2.83
Sr: 0.3333 0.6667 0.6814 (multiplicity 2)  12 O 2.74-2.91
Ta: 0.0000 0.0000 0.5000 (multiplicity 1)  6 O 1.99
Ga: 0.3333 0.6667 0.1669 (multiplicity 2)  6 O 1.99
O: 0.0000 0.5000 0.0000 (multiplicity 3)  2 Ga 1.99
O: 0.1665 0.3330 0.3337 (multiplicity 6)  1 Ta 1.99, 1 Ga 1.99

Output
The uncorrected formation energy comes out at -2.49 eV/atom. The crystal system is trigonal. The calculation puts the final energy at -104.981 eV for the cell shown.

---

## ZnTc2Os (PBE)

Data for crystalline ZnTc2Os at its relaxed geometry.

a b c (Å): 2.7647 2.7647 7.5621
angles (deg): 90.00 90.00 90.00
Last column: nearest neighbours and their distance in Å.
Space group P4mm (No. 99)
Unique sites:
Zn: 0.0000 0.0000 0.0000 (multiplicity 1)  4 Os 2.73, 4 Tc 2.75, 4 Zn 2.76
Tc: 0.0000 0.0000 0.4878 (multiplicity 1)  4 Os 2.65, 8 Tc 2.76
Tc: 0.5000 0.5000 0.7451 (multiplicity 1)  4 Zn 2.75, 8 Tc 2.76
Os: 0.5000 0.5000 0.2516 (multiplicity 1)  4 Tc 2.65, 4 Zn 2.73, 4 Os 2.76

Output
The formation energy comes out at 0.127 eV/atom. The crystal system is tetragonal. The calculation puts the final energy at -32.729 eV for the cell shown.

---

## AlTlPt2 (PBE)

Data for crystalline AlTlPt2 at its relaxed geometry.

a b c (Å): 3.9071 3.9071 9.0212
angles (deg): 90.00 90.00 90.00
Last column: nearest neighbours and their distance in Å.
Space group I-4m2 (No. 119)
Unique sites:
Al: 0.0000 0.0000 0.0000 (multiplicity 2)  8 Pt 2.76-2.98, 4 Tl 2.98
Tl: 0.0000 0.5000 0.2500 (multiplicity 2)  8 Pt 2.76-2.98, 4 Al 2.98
Pt: 0.0000 0.0000 0.5000 (multiplicity 2)  4 Al 2.76, 4 Tl 2.98, 4 Pt 2.98
Pt: 0.0000 0.5000 0.7500 (multiplicity 2)  4 Tl 2.76, 4 Al 2.98, 4 Pt 2.98

Output
The formation energy comes out at -0.270 eV/atom. The crystal system is tetragonal. As for the energy above the lowest structure with this stoichiometry: 0.257 eV per atom. The calculation puts the final energy at -38.543 eV for the cell shown.

---

## Rb2PuPdO6 (PBE)

Data for crystalline Rb2PuPdO6 at its relaxed geometry.

a b c (Å): 6.3229 6.3229 5.5755
angles (deg): 90.00 90.00 120.00
Last column: nearest neighbours and their distance in Å.
Space group P-3m1 (No. 164)
Unique sites:
Rb: 0.3333 0.6667 0.1593 (multiplicity 2)  9 O 3.12-3.22
Pu: 0.0000 0.0000 0.5000 (multiplicity 1)  6 O 2.07
Pd: 0.0000 0.0000 0.0000 (multiplicity 1)  6 O 2.09
O: 0.1406 0.2813 0.7471 (multiplicity 6)  1 Pu 2.07, 1 Pd 2.09

Output
The uncorrected formation energy comes out at -1.62 eV/atom. The crystal system is trigonal. The calculation puts the final energy at -67.420 eV for the cell shown.

---

## NdP2Rh5 (PBE)

Data for crystalline NdP2Rh5 at its relaxed geometry.

a b c (Å): 3.9344 6.7969 9.4624
angles (deg): 90.00 90.00 90.00
Last column: nearest neighbours and their distance in Å.
Space group Immm (No. 71)
Unique sites:
Nd: 0.0000 0.0000 0.0000 (multiplicity 2)  4 P 3.14, 10 Rh 3.17-3.40
P: 0.0000 0.5000 0.2415 (multiplicity 4)  7 Rh 2.28-2.54
Rh: 0.0000 0.2006 0.3493 (multiplicity 8)  3 P 2.28-2.54
Rh: 0.0000 0.5000 0.0000 (multiplicity 2)  2 P 2.29

Output
The formation energy comes out at -0.834 eV/atom. The crystal system is orthorhombic. The calculation puts the final energy at -118.033 eV for the cell shown.

---

## CsPICl2 (PBE)

Data for crystalline CsPICl2 at its relaxed geometry.

a b c (Å): 6.1714 6.1714 5.0008
angles (deg): 90.00 90.00 90.00
Last column: nearest neighbours and their distance in Å.
Space group P4/mmm (No. 123)
Unique sites:
Cs: 0.0000 0.0000 0.0000 (multiplicity 1)  8 Cl 3.97, 4 P 4.36
P: 0.5000 0.5000 0.0000 (multiplicity 1)  2 I 2.50
I: 0.5000 0.5000 0.5000 (multiplicity 1)  2 P 2.50
Cl: 0.0000 0.5000 0.5000 (multiplicity 2)  2 I 3.09

Output
The uncorrected formation energy comes out at -0.26 eV/atom. The crystal system is tetragonal. The calculation puts the final energy at -12.819 eV for the cell shown.

---

## Na3Cd6Au5 (PBE)

Data for crystalline Na3Cd6Au5 at its relaxed geometry.

a b c (Å): 4.6136 14.1839 9.9035
angles (deg): 90.00 90.00 90.00
Last column: nearest neighbours and their distance in Å.
Space group Pmmn (No. 59, origin choice 2)
Unique sites:
Na: 0.2500 0.0463 0.2481 (multiplicity 4)  4 Au 3.20-3.30, 7 Cd 3.26-3.37
Na: 0.2500 0.7500 0.2675 (multiplicity 2)  6 Au 3.23-3.45
Cd: 0.2500 0.0648 0.5806 (multiplicity 4)  4 Au 2.77-2.86
Cd: 0.2500 0.2500 0.0328 (multiplicity 2)  4 Au 2.84-2.89
Cd: 0.2500 0.2500 0.4020 (multiplicity 2)  6 Au 2.86-2.99, 2 Cd 3.17
Cd: 0.2500 0.5946 0.9737 (multiplicity 4)  4 Au 2.85-2.88
Au: 0.2500 0.0914 0.8577 (multiplicity 4)  5 Cd 2.77-2.88
Au: 0.2500 0.6357 0.5502 (multiplicity 4)  5 Cd 2.83-2.86, 1 Au 2.88
Au: 0.2500 0.7500 0.7906 (multiplicity 2)  6 Cd 2.85-2.99, 2 Au 2.88

Output
The formation energy comes out at -0.253 eV/atom. The crystal system is orthorhombic. The calculation puts the final energy at -58.744 eV for the cell shown.

---

## AcTbZnBi (PBE)

Data for crystalline AcTbZnBi at its relaxed geometry.

a b c (Å): 7.8432 7.8432 7.8432
angles (deg): 90.00 90.00 90.00
Last column: nearest neighbours and their distance in Å.
Space group F-43m (No. 216)
Unique sites:
Ac: 0.0000 0.0000 0.0000 (multiplicity 4)  4 Zn 3.40, 4 Bi 3.40
Tb: 0.0000 0.0000 0.5000 (multiplicity 4)  4 Bi 3.40, 4 Zn 3.40
Zn: 0.2500 0.2500 0.2500 (multiplicity 4)  4 Ac 3.40, 4 Tb 3.40
Bi: 0.2500 0.2500 0.7500 (multiplicity 4)  4 Ac 3.40, 4 Tb 3.40

Output
The formation energy comes out at -0.389 eV/atom. The crystal system is cubic. The calculation puts the final energy at -61.798 eV for the cell shown.

---

## VCrH2Rh (PBE)

Data for crystalline VCrH2Rh at its relaxed geometry.

a b c (Å): 3.3665 3.3665 4.9158
angles (deg): 90.00 90.00 90.00
Last column: nearest neighbours and their distance in Å.
Space group P4/mmm (No. 123)
Unique sites:
V: 0.0000 0.0000 0.0000 (multiplicity 1)  4 Cr 2.38
Cr: 0.5000 0.5000 0.0000 (multiplicity 1)  4 V 2.38, 2 Rh 2.46
H: 0.0000 0.5000 0.5000 (multiplicity 2)  2 Rh 1.68
Rh: 0.5000 0.5000 0.5000 (multiplicity 1)  4 H 1.68

Output
The crystal system is tetragonal. The calculation puts the final energy at -29.751 eV for the cell shown.

---

## Ac2PrCd12Ag3 (PBE)

Data for crystalline Ac2PrCd12Ag3 at its relaxed geometry.

a b c (Å): 7.3211 7.3211 31.8615
angles (deg): 90.00 90.00 120.00
Last column: nearest neighbours and their distance in Å.
Space group R-3m (No. 166, hexagonal axes)
Unique sites:
Ac: 0.0000 0.0000 0.1422 (multiplicity 6)  6 Cd 3.44-3.47
Pr: 0.0000 0.0000 0.5000 (multiplicity 3)  6 Cd 3.29
Cd: 0.0554 0.5277 0.9017 (multiplicity 18)  4 Cd 2.97-3.05, 1 Ag 3.15, 1 Pr 3.29
Cd: 0.0639 0.5320 0.7140 (multiplicity 18)  2 Ag 2.79, 4 Cd 2.96-2.97
Ag: 0.0000 0.5000 0.0000 (multiplicity 9)  4 Cd 2.79

Output
The formation energy comes out at -0.034 eV/atom. The crystal system is trigonal. The calculation puts the final energy at -99.413 eV for the cell shown.

---

## Ti6InRh (PBE)

Data for crystalline Ti6InRh at its relaxed geometry.

a b c (Å): 7.7013 9.4007 5.4000
angles (deg): 90.00 133.89 90.00
Last column: nearest neighbours and their distance in Å.
Space group C2/m (No. 12)
Unique sites:
Ti: 0.9995 0.0000 0.2485 (multiplicity 4)  6 Ti 2.69-2.87
Ti: 0.2487 0.2261 0.2482 (multiplicity 8)  1 Rh 2.54, 4 Ti 2.73-2.79
In: 0.0000 0.5000 0.0000 (multiplicity 2)  2 Rh 2.70, 4 Ti 2.92
Rh: 0.0000 0.5000 0.5000 (multiplicity 2)  4 Ti 2.54, 2 In 2.70

Output
The formation energy comes out at -0.008 eV/atom. The crystal system is monoclinic. The calculation puts the final energy at -115.040 eV for the cell shown.

---

Question: The lowest final energy belongs to which entry?
Answer: NdP2Rh5

---

Question: Which of these has the lowest final energy?
Answer: NdP2Rh5

---

Question: Among the records above, which one has the lowest final energy?
Answer: NdP2Rh5

---

Question: Among the records above, which one has the lowest final energy?
Answer: NdP2Rh5